# BaV2O7 PBE+U optimized geometry
data_BaV2O7
_symmetry_space_group_name_H-M 'P 1'
_symmetry_Int_Tables_number 1
_symmetry_space_group_name_Hall 'P 1'
_cell_length_a 6.0690
_cell_length_b 6.0690
_cell_length_c 3.7921
_cell_angle_alpha 90.00
_cell_angle_beta 90.00
_cell_angle_gamma 120.50
loop_
_atom_site_label
_atom_site_type_symbol
_atom_site_fract_x
_atom_site_fract_y
_atom_site_fract_z
_atom_site_occupancy
Ba1 Ba 0.0000 0.0000 0.0000 1
V1 V 0.2989 0.7011 0.5000 1
V2 V 0.7011 0.2989 0.5000 1
O1 O 0.0536 0.3445 0.5000 1
O2 O 0.2959 0.7041 0.0000 1
O3 O 0.3445 0.0536 0.5000 1
O4 O 0.5000 0.5000 0.5000 1
O5 O 0.6555 0.9464 0.5000 1
O6 O 0.7041 0.2959 0.0000 1
O7 O 0.9464 0.6555 0.5000 1
# E	-6.7793	eV per atom
# theoretical density	4.85	g/cm³